K3Tb2SmTe6: optimized geometry, GGA-PBE.

As for the uncorrected formation energy: -1406 meV/atom. For the size of the total moment, the calculation gives 0.000 μB/atom.

a b c (Å): 7.850 13.596 8.654
angles (deg): 90.00 107.62 90.00
Space group C2/m (No. 12)
One atom of each set of equivalent atoms:
K 0.000 0.000 0.000
K 0.000 0.334 0.000
Tb 0.000 0.167 0.500
Sm 0.000 0.500 0.500
Te 0.233 0.000 0.710
Te 0.239 0.332 0.710

K3TbSm3Te8: optimized geometry, GGA-PBE.

As for the uncorrected formation energy: -1327 meV/atom. For the size of the total moment, the calculation gives 0.000 μB/atom.

a b c (Å): 8.9374 8.9374 25.4995
angles (deg): 90.00 90.00 120.00
Space group R-3m (No. 166, hexagonal axes)
One atom of each set of equivalent atoms:
K 0.0000 0.5000 0.0000
Tb 0.0000 0.0000 0.5000
Sm 0.0000 0.5000 0.5000
Te 0.0000 0.0000 0.2378
Te 0.0022 0.5011 0.2366